## Cs3SbAu (SCAN)

Data for a crystal of Cs3SbAu relaxed with PBEsol.

## Properties
* raw formation energy: -0.22 eV per atom

a b c (Å): 6.4776 6.4776 6.4776
angles (deg): 90.00 90.00 90.00
Site moments in Bohr magnetons follow the coordinates.
Atoms (fractional coordinates):
Cs (0.0000, 0.5000, 0.0000)  0.00
Cs (0.0000, 0.0000, 0.5000)  0.00
Cs (0.5000, 0.0000, 0.0000)  0.00
Sb (0.5000, 0.5000, 0.5000)  0.34
Au (0.0000, 0.0000, 0.0000)  0.00

***

## CoSbAu2 (SCAN)

Data for a crystal of CoSbAu2 relaxed with PBEsol.

## Properties
* raw formation energy: 0.21 eV per atom

a b c (Å): 3.2236 4.2840 5.6688
angles (deg): 112.02 106.28 90.60
Site moments in Bohr magnetons follow the coordinates.
Atoms (fractional coordinates):
Au (0.0000, 0.0000, 0.5000)  0.00
Au (0.5000, 0.5000, 0.5000)  0.00
Co (0.5000, 0.0000, 0.0000)  1.53
Sb (0.0000, 0.5000, 0.0000)  -0.04

***

## GeAsC3 (SCAN)

Data for a crystal of GeAsC3 relaxed with PBEsol.

## Properties
* ΔE_f: 260.43 kJ per mole of atoms

a b c (Å): 3.9205 3.9205 3.9205
angles (deg): 90.00 90.00 90.00
Atoms (fractional coordinates):
C (0.0000, 0.5000, 0.0000)
C (0.0000, 0.0000, 0.5000)
C (0.5000, 0.0000, 0.0000)
As (0.0000, 0.0000, 0.0000)
Ge (0.5000, 0.5000, 0.5000)

***

## Mg5Ru (SCAN)

Data for a crystal of Mg5Ru relaxed with PBEsol.

## Properties
* ΔE_f: -0.97 kJ per mole of atoms

a b c (Å): 4.2974 4.3262 6.4211
angles (deg): 90.00 109.55 90.00
Atoms (fractional coordinates):
Ru (0.5000, 0.0000, 0.0000)
Mg (0.3474, 0.5000, 0.6947)
Mg (0.1525, 0.0000, 0.3051)
Mg (0.0000, 0.5000, 0.0000)
Mg (0.8475, 0.0000, 0.6949)
Mg (0.6526, 0.5000, 0.3053)

***

## TaCo2Ag (SCAN)

Data for a crystal of TaCo2Ag relaxed with PBEsol.

## Properties
* ΔE_f: 22.57 kJ per mole of atoms

a b c (Å): 4.1986 4.2071 4.1986
angles (deg): 60.07 90.00 119.93
Atoms (fractional coordinates):
Co (0.2500, 0.5000, 0.2500)
Co (0.7500, 0.5000, 0.7500)
Ag (0.5000, 0.0000, 0.5000)
Ta (0.0000, 0.0000, 0.0000)

***

## PbO3F (SCAN)

Data for a crystal of PbO3F relaxed with PBEsol.

## Properties
* raw formation energy: 0.37 eV per atom

a b c (Å): 4.2457 4.2457 4.2457
angles (deg): 90.00 90.00 90.00
Site moments in Bohr magnetons follow the coordinates.
Atoms (fractional coordinates):
F (0.0000, 0.0000, 0.0000)  0.63
O (0.0000, 0.5000, 0.5000)  0.70
O (0.5000, 0.0000, 0.5000)  0.70
O (0.5000, 0.5000, 0.0000)  0.70
Pb (0.5000, 0.5000, 0.5000)  -0.10

***

## Y2SeBr (SCAN)

Data for a crystal of Y2SeBr relaxed with PBEsol.

## Properties
* raw formation energy: -1.27 eV per atom

a b c (Å): 3.6947 5.6832 5.6832
angles (deg): 97.77 109.77 109.77
Atoms (fractional coordinates):
Br (0.0000, 0.5000, 0.5000)
Se (0.0000, 0.0000, 0.0000)
Y (0.0000, 0.0000, 0.5000)
Y (0.0000, 0.5000, 0.0000)

***

## RbGe2Rh2 (SCAN)

Data for a crystal of RbGe2Rh2 relaxed with PBEsol.

## Properties
* ΔE_f: -51.07 kJ per mole of atoms

a b c (Å): 4.1279 4.1279 6.8940
angles (deg): 107.42 107.42 90.00
Atoms (fractional coordinates):
Ge (0.3499, 0.3499, 0.6998)
Ge (0.6501, 0.6501, 0.3002)
Rh (0.2500, 0.7500, 0.5000)
Rh (0.7500, 0.2500, 0.5000)
Rb (0.0000, 0.0000, 0.0000)

***

## Pt2Pb (SCAN)

Data for a crystal of Pt2Pb relaxed with PBEsol.

## Properties
* ΔE_f: 15.94 kJ per mole of atoms

a b c (Å): 3.6268 3.6268 4.8675
angles (deg): 111.87 111.87 90.00
Atoms (fractional coordinates):
Pb (0.5000, 0.5000, 0.0000)
Pt (0.1714, 0.1714, 0.3428)
Pt (0.8286, 0.8286, 0.6572)

***

## BaScGe2W (SCAN)

Data for a crystal of BaScGe2W relaxed with PBEsol.

## Properties
* ΔE_f: 74.45 kJ per mole of atoms

a b c (Å): 4.9167 4.9167 5.5652
angles (deg): 90.00 90.00 90.00
Site moments in Bohr magnetons follow the coordinates.
Atoms (fractional coordinates):
Sc (0.5000, 0.5000, 0.5000)  0.89
Ge (0.0000, 0.5000, 0.0000)  -0.03
Ge (0.5000, 0.0000, 0.0000)  -0.03
Ba (0.0000, 0.0000, 0.5000)  0.13
W (0.0000, 0.0000, 0.0000)  0.05

***

## AlZnW2 (SCAN)

Data for a crystal of AlZnW2 relaxed with PBEsol.

## Properties
* ΔE_f: 12.60 kJ per mole of atoms

a b c (Å): 2.6799 2.6799 9.5535
angles (deg): 69.33 69.33 75.42
Atoms (fractional coordinates):
Zn (0.5000, 0.5000, 0.5000)
Al (0.9999, 0.9999, 0.0000)
W (0.2487, 0.2487, 0.2488)
W (0.7513, 0.7513, 0.7512)

***

## Mg2InRuW (SCAN)

Data for a crystal of Mg2InRuW relaxed with PBEsol.

## Properties
* ΔE_f: 180.70 kJ per mole of atoms

a b c (Å): 4.7700 4.7700 5.0457
angles (deg): 90.00 90.00 90.00
Site moments in Bohr magnetons follow the coordinates.
Atoms (fractional coordinates):
Ru (0.5000, 0.5000, 0.5000)  2.36
Mg (0.0000, 0.5000, 0.0000)  -0.01
Mg (0.5000, 0.0000, 0.0000)  -0.01
W (0.0000, 0.0000, 0.5000)  0.09
In (0.0000, 0.0000, 0.0000)  0.05

***

Number 1: V 271.79 Å³/cell. Number 2: V 69.08 Å³/cell. Number 3: V 60.26 Å³/cell. Number 4: V 112.49 Å³/cell. Number 5: V 52.55 Å³/cell. Number 6: V 76.53 Å³/cell. Number 7: V 101.40 Å³/cell. Number 8: V 106.42 Å³/cell. Number 9: V 54.42 Å³/cell. Number 10: V 134.53 Å³/cell. Number 11: V 59.43 Å³/cell. Number 12: V 114.80 Å³/cell.